This record from the Alexandria database describes crystalline HoNi6B3 at its relaxed geometry. The functional is GGA-PBE.

## Properties
energy relative to the elements: -7.03 kcal/mol of atoms
electronic total energy: -6.23 eV/atom

The structure in CIF format:
```
data_HoNi6B3
_cell_length_a 4.9346
_cell_length_b 4.9346
_cell_length_c 15.3581
_cell_angle_alpha 90.00
_cell_angle_beta 90.00
_cell_angle_gamma 120.00
_space_group_name_H-M_alt 'R 3'
_space_group_IT_number 146
_space_group_name_Hall 'R 3'
loop_
_atom_site_label
_atom_site_type_symbol
_atom_site_fract_x
_atom_site_fract_y
_atom_site_fract_z
Ho1 Ho 0.0000 0.0000 0.0000
Ni1 Ni 0.9996 0.5057 0.0744
Ni2 Ni 0.1185 0.3339 0.2139
B1 B 0.0000 0.0000 0.3083
B2 B 0.0000 0.0000 0.6420
B3 B 0.0000 0.0000 0.8371
```